Entry 1:
The following is a PBEsol calculation of a relaxed structure of AlCu4, from Alexandria via LeMat-Bulk.

```
5
Lattice="-2.582 0.955 -1.850 -0.454 -3.134 -0.984 -2.133 0.168 6.036" Properties=species:S:1:pos:R:3 pbc="T T T"
Al 0.000 0.000 0.000
Cu -2.233 -1.270 -0.513
Cu -2.052 -2.028 1.818
Cu -3.116 0.017 1.385
Cu -2.936 -0.741 3.715
```

***

Entry 2:
The following is a PBEsol calculation of a relaxed structure of AlCu5, from Alexandria via LeMat-Bulk.

```
6
Lattice="3.612 0.000 0.000 0.000 3.616 0.000 -1.806 0.000 5.378" Properties=species:S:1:pos:R:3 pbc="T T T"
Al 1.806 0.000 0.000
Cu 0.000 1.808 0.000
Cu 0.000 1.808 3.563
Cu 1.806 0.000 3.587
Cu 0.000 0.000 1.791
Cu 1.806 1.808 1.815
```

***

Entry 3:
The following is a PBEsol calculation of a relaxed structure of Al3Cu, from Alexandria via LeMat-Bulk.

```
4
Lattice="2.795 0.000 0.000 1.398 2.421 0.000 1.398 0.807 8.693" Properties=species:S:1:pos:R:3 pbc="T T T"
Al 4.193 2.421 6.680
Al 1.398 0.807 2.013
Al 2.795 1.614 4.347
Cu 0.000 0.000 0.000
```

***

Entry 4:
The following is a PBEsol calculation of a relaxed structure of Al5Cu, from Alexandria via LeMat-Bulk.

```
6
Lattice="3.965 0.000 0.000 0.000 3.964 0.000 0.000 1.982 5.799" Properties=species:S:1:pos:R:3 pbc="T T T"
Al 0.000 3.964 1.875
Al 1.983 1.982 1.887
Al 1.983 0.000 0.000
Al 0.000 1.982 3.924
Cu 0.000 1.982 0.000
Al 1.983 3.964 3.911
```

***

Entry 5:
The following is a PBEsol calculation of a relaxed structure of Al3Cu, from Alexandria via LeMat-Bulk.

```
4
Lattice="-2.204 -3.197 0.248 3.184 -2.146 0.629 -0.380 0.559 3.832" Properties=species:S:1:pos:R:3 pbc="T T T"
Al 0.490 -2.672 0.439
Al -1.292 -1.319 2.040
Al 1.402 -0.793 2.231
Cu 0.000 0.000 0.000
```

***

Entry 6:
The following is a PBEsol calculation of a relaxed structure of Al3Cu, from Alexandria via LeMat-Bulk.

```
4
Lattice="-1.391 0.818 2.281 -2.584 -2.745 -0.592 2.990 -3.476 3.070" Properties=species:S:1:pos:R:3 pbc="T T T"
Cu 0.000 0.000 0.000
Al 0.284 -3.605 3.177
Al -1.269 -1.799 1.582
Al 1.495 -1.738 1.535
```

***

Number 1: ΔE_f 0.166 eV per atom. Number 2: ΔE_f -0.129 eV per atom. Number 3: ΔE_f -0.051 eV per atom. Number 4: ΔE_f -0.023 eV per atom. Number 5: ΔE_f -0.034 eV per atom. Number 6: ΔE_f -0.037 eV per atom.